# Y4Mg3Ru

Crystalline Y4Mg3Ru at its relaxed geometry (PBE, the Alexandria database).

POSCAR file:
```
Y4Mg3Ru
1.0
-3.020 1.383 -1.244
-1.521 -0.471 3.169
4.922 14.857 4.572
Y Ru Mg
4 1 3
Cartesian
4.432 13.380 4.118 Y
0.489 1.477 0.455 Y
1.821 5.497 1.692 Y
3.101 9.360 2.881 Y
-2.270 0.456 0.962 Ru
-1.092 4.014 2.058 Mg
0.190 7.884 3.249 Mg
1.472 11.754 4.440 Mg
```

Spin magnetization, μB/atom: 0.026
Formation enthalpy at 0 K, meV per atom: -182